DFT (GGA-PBE) results for an optimized crystal structure of BaNi2Mo.

a b c (Å): 6.5364 6.5364 6.5364
angles (deg): 90.00 90.00 90.00
Space group F-43m (No. 216)
Asymmetric unit:
Ba1 0.0000 0.0000 0.0000 [4 per cell]
Ni1 0.0000 0.0000 0.5000 [4 per cell]
Ni2 0.2500 0.2500 0.2500 [4 per cell]
Mo1 0.2500 0.2500 0.7500 [4 per cell]

## Properties
The volume comes out at 17.45 Å³ per atom. The calculation puts the distance to the lowest polymorph of the same formula at 846.1 meV per atom. For the total energy, the calculation gives -5.004 eV/atom.



DFT (GGA-PBE) results for an optimized crystal structure of NiAg2As.

a b c (Å): 2.9811 4.0185 5.4556
angles (deg): 90.00 90.00 90.00
Space group Pmmm (No. 47)
Asymmetric unit:
Ni1 0.0000 0.0000 0.0000 [1 per cell]
Ag1 0.5000 0.5000 0.2424 [2 per cell]
As1 0.0000 0.0000 0.5000 [1 per cell]

## Properties
The volume comes out at 16.34 Å³ per atom. For the total energy, the calculation gives -3.781 eV/atom.



DFT (GGA-PBE) results for an optimized crystal structure of Tb2Sm4YMg.

a b c (Å): 5.0381 5.0381 10.0260
angles (deg): 90.00 90.00 90.00
Space group P4/mmm (No. 123)
Asymmetric unit:
Tb1 0.0000 0.0000 0.0000 [1 per cell]
Tb2 0.5000 0.5000 0.5000 [1 per cell]
Sm1 0.0000 0.5000 0.2461 [4 per cell]
Y1 0.0000 0.0000 0.5000 [1 per cell]
Mg1 0.5000 0.5000 0.0000 [1 per cell]

## Properties
The volume comes out at 31.81 Å³ per atom. For the total energy, the calculation gives -4.512 eV/atom.



DFT (GGA-PBE) results for an optimized crystal structure of CaLa2Pr.

a b c (Å): 5.3445 5.3445 5.2366
angles (deg): 90.00 90.00 90.00
Space group P4/mmm (No. 123)
Asymmetric unit:
Ca1 0.0000 0.0000 0.0000 [1 per cell]
La1 0.0000 0.5000 0.5000 [2 per cell]
Pr1 0.5000 0.5000 0.0000 [1 per cell]

## Properties
The volume comes out at 37.39 Å³ per atom. The calculation puts the distance to the lowest polymorph of the same formula at 34.1 meV per atom. For the total energy, the calculation gives -4.096 eV/atom.



DFT (GGA-PBE) results for an optimized crystal structure of Hf2ThN4.

a b c (Å): 3.2674 10.6620 10.7426
angles (deg): 90.00 90.00 90.00
Space group Cmcm (No. 63)
Asymmetric unit:
Hf1 0.0000 0.1338 0.0668 [8 per cell]
Th1 0.0000 0.3903 0.2500 [4 per cell]
N1 0.0000 0.0488 0.2500 [4 per cell]
N2 0.0000 0.2334 0.6125 [8 per cell]
N3 0.0000 0.5000 0.0000 [4 per cell]

## Properties
The volume comes out at 13.37 Å³ per atom. The value obtained for the energy relative to the elements, uncorrected is -1688 meV/atom. For the total energy, the calculation gives -10.350 eV/atom.



DFT (GGA-PBE) results for an optimized crystal structure of CrRuPt2.

a b c (Å): 9.1148 2.7449 4.7276
angles (deg): 90.00 101.05 90.00
Space group Cm (No. 8)
Asymmetric unit:
Cr1 0.0000 0.0000 0.0000 [2 per cell]
Ru1 0.2344 0.5000 0.2365 [2 per cell]
Pt1 0.2519 0.0000 0.7541 [2 per cell]
Pt2 0.4919 0.0000 0.4857 [2 per cell]

## Properties
The volume comes out at 14.51 Å³ per atom. For the total energy, the calculation gives -7.819 eV/atom.



DFT (GGA-PBE) results for an optimized crystal structure of SrMg2Ni.

a b c (Å): 4.4954 4.4954 9.2497
angles (deg): 90.00 90.00 90.00
Space group I4/mmm (No. 139)
Asymmetric unit:
Sr1 0.0000 0.0000 0.0000 [2 per cell]
Mg1 0.0000 0.5000 0.2500 [4 per cell]
Ni1 0.0000 0.0000 0.5000 [2 per cell]

## Properties
The volume comes out at 23.37 Å³ per atom. For the total energy, the calculation gives -2.475 eV/atom.



DFT (GGA-PBE) results for an optimized crystal structure of MgRe2Ge.

a b c (Å): 6.2046 6.2046 6.2046
angles (deg): 90.00 90.00 90.00
Space group Fm-3m (No. 225)
Asymmetric unit:
Mg1 0.0000 0.0000 0.0000 [4 per cell]
Re1 0.2500 0.2500 0.2500 [8 per cell]
Ge1 0.0000 0.0000 0.5000 [4 per cell]

## Properties
The volume comes out at 14.93 Å³ per atom. The calculation puts the distance to the lowest polymorph of the same formula at 0.0 meV per atom. For the total energy, the calculation gives -7.226 eV/atom.



Q: Which formula does entry 3 have?
A: Tb2Sm4YMg